Below is a relaxed Ce8Sn2Os3 crystal, with properties calculated at the PBE level.

The energy above the lowest structure with this stoichiometry is 0.00 kcal/mol of atoms. The calculation puts the density of states at the Fermi level at 33.82 states/eV per cell. The calculation puts the calculated volume at 27.940 Å³ per atom. The symmetry is P2/m.

Geometry as POSCAR:
```
Ce8Sn2Os3
1.0
4.6824 0.0000 0.0000
0.0000 8.7569 -5.0209
0.0000 -0.5428 9.1695
Ce Os Sn
8 3 2
Direct
0.0000 0.5890 0.1780
0.0000 0.4110 0.8220
0.5000 0.8712 0.2240
0.0000 0.8825 0.7651
0.5000 0.1288 0.7760
0.5000 0.3529 0.2230
0.0000 0.1175 0.2349
0.5000 0.6471 0.7770
0.5000 0.0000 0.0000
0.0000 0.7648 0.0003
0.0000 0.2352 0.9997
0.5000 0.2638 0.5272
0.5000 0.7362 0.4728
```



Below is a relaxed FeSBrCl2 crystal, with properties calculated at the PBE level.

The energy above the lowest structure with this stoichiometry is 17.98 kcal/mol of atoms. As for the uncorrected formation energy: 4.855 eV per formula unit. The calculation puts the density of states at the Fermi level at 8.85 states/eV per cell. The calculation puts the calculated volume at 26.108 Å³ per atom. The symmetry is P4/mmm.

Geometry as POSCAR:
```
FeSBrCl2
1.0
5.1325 0.0000 0.0000
0.0000 5.1325 0.0000
0.0000 0.0000 4.9556
Cl S Fe Br
2 1 1 1
Direct
0.5000 0.0000 0.0000
0.0000 0.5000 0.0000
0.0000 0.0000 0.5000
0.5000 0.5000 0.5000
0.0000 0.0000 0.0000
```



Below is a relaxed NaBTe3 crystal, with properties calculated at the PBE level.

The energy above the lowest structure with this stoichiometry is 9.26 kcal/mol of atoms. As for the uncorrected formation energy: 1.861 eV per formula unit. The calculation puts the density of states at the Fermi level at 4.49 states/eV per cell. The calculation puts the calculated volume at 25.382 Å³ per atom. The symmetry is Pm-3m.

Geometry as POSCAR:
```
NaBTe3
1.0
5.0253 0.0000 0.0000
0.0000 5.0253 0.0000
0.0000 0.0000 5.0253
Te Na B
3 1 1
Direct
0.0000 0.5000 0.0000
0.5000 0.0000 0.0000
0.0000 0.0000 0.5000
0.5000 0.5000 0.5000
0.0000 0.0000 0.0000
```



Below is a relaxed Ti8Nb2H crystal, with properties calculated at the PBE level.

The final energy comes out at -86.71 eV/cell. The calculation puts the density of states at the Fermi level at 15.98 states/eV per cell. The calculation puts the calculated volume at 15.949 Å³ per atom. The symmetry is P-1.

Geometry as POSCAR:
```
Ti8Nb2H
1.0
1.0141 -0.9090 -5.0653
-3.9522 -3.5223 0.4242
-3.2249 6.4746 1.4200
H Ti Nb
1 8 2
Direct
0.5000 0.0000 0.0000
0.2535 0.0270 0.7274
0.5328 0.5908 0.8466
0.7465 0.9730 0.2726
0.3296 0.2035 0.4209
0.4672 0.4092 0.1534
0.6704 0.7965 0.5791
0.1405 0.7888 0.0185
0.8595 0.2111 0.9815
0.9202 0.3780 0.6482
0.0798 0.6220 0.3518
```



Below is a relaxed Ba5Li4Cd crystal, with properties calculated at the PBE level.

The final energy comes out at -18.50 eV/cell. The calculation puts the density of states at the Fermi level at 14.29 states/eV per cell. The calculation puts the calculated volume at 41.960 Å³ per atom. The symmetry is P4/mmm.

Geometry as POSCAR:
```
Ba5Li4Cd
1.0
4.3761 0.0000 0.0000
0.0000 4.3761 0.0000
0.0000 0.0000 21.9114
Li Cd Ba
4 1 5
Direct
0.0000 0.0000 0.6010
0.0000 0.0000 0.3990
0.0000 0.0000 0.8040
0.0000 0.0000 0.1960
0.0000 0.0000 0.0000
0.5000 0.5000 0.0925
0.5000 0.5000 0.2991
0.5000 0.5000 0.9075
0.5000 0.5000 0.5000
0.5000 0.5000 0.7009
```



Below is a relaxed HfNbGe crystal, with properties calculated at the PBE level.

The final energy comes out at -104.51 eV/cell. The calculation puts the density of states at the Fermi level at 6.85 states/eV per cell. The calculation puts the calculated volume at 18.482 Å³ per atom. The symmetry is Imm2.

Geometry as POSCAR:
```
HfNbGe
1.0
3.9319 0.0000 0.0000
0.0000 3.7763 0.0000
0.0000 0.0000 14.9375
Nb Hf Ge
4 4 4
Direct
0.5000 0.5000 0.0394
0.0000 0.5000 0.8608
0.5000 0.0000 0.3608
0.0000 0.0000 0.5394
0.0000 0.5000 0.2199
0.5000 0.5000 0.5384
0.0000 0.0000 0.0384
0.5000 0.0000 0.7199
0.5000 0.0000 0.9020
0.0000 0.5000 0.6775
0.5000 0.0000 0.1775
0.0000 0.5000 0.4020
```



Below is a relaxed LiTmGa2Pd4 crystal, with properties calculated at the PBE level.

The final energy comes out at -39.24 eV/cell. The calculation puts the density of states at the Fermi level at 3.77 states/eV per cell. The calculation puts the calculated volume at 16.097 Å³ per atom. The symmetry is R-3m.

Geometry as POSCAR:
```
LiTmGa2Pd4
1.0
-1.4591 -4.1308 -0.1062
2.1160 -3.0107 -2.3795
4.6464 -4.1015 5.2862
Tm Ga Pd Li
1 2 4 1
Direct
0.0000 0.0000 0.0000
0.7579 0.7579 0.7264
0.2421 0.2421 0.2736
0.1274 0.1274 0.6178
0.6070 0.6070 0.1789
0.3930 0.3930 0.8211
0.8726 0.8726 0.3822
0.5000 0.5000 0.5000
```



Below is a relaxed LiTaBiF2 crystal, with properties calculated at the PBE level.

As for the uncorrected formation energy: -3.579 eV per formula unit. The calculation puts the density of states at the Fermi level at 1.40 states/eV per cell. The calculation puts the calculated volume at 17.097 Å³ per atom. The symmetry is P4/mmm.

Geometry as POSCAR:
```
LiTaBiF2
1.0
3.9454 0.0000 0.0000
0.0000 5.4920 0.0000
0.0000 0.0000 3.9454
F Li Ta Bi
2 1 1 1
Direct
0.5000 0.0000 0.0000
0.0000 0.0000 0.5000
0.0000 0.0000 0.0000
0.5000 0.5000 0.5000
0.0000 0.5000 0.0000
```



Which value of calculated volume does entry 1 give? 27.940 Å³ per atom